1.
Computed, not measured: RuPb2BrN after structural relaxation at the PBE level of DFT.

```
RuPb2BrN
1.0
5.642 0.000 0.000
0.000 5.642 0.000
0.000 0.000 3.737
Ru Pb Br N
1 2 1 1
Cartesian
0.000 0.000 0.000
0.000 2.821 1.868
2.821 0.000 1.868
2.821 2.821 0.000
0.000 0.000 1.868
```

Summary:
E_form (uncorrected)   113 kJ/mol of formula units
VASP energy   -0.3751 Ry per atom

***

2.
Computed, not measured: PbS2BrN after structural relaxation at the PBE level of DFT.

```
PbS2BrN
1.0
5.155 0.000 0.000
0.000 5.155 0.000
0.000 0.000 4.029
Pb S Br N
1 2 1 1
Cartesian
0.000 0.000 0.000
0.000 2.578 2.015
2.578 0.000 2.015
2.578 2.578 2.015
2.578 2.578 0.000
```

Summary:
Energy relative to the lowest polymorph listed for this composition   0.00 eV/f.u.
E_form (uncorrected)   534 kJ/mol of formula units
VASP energy   -0.2415 Ry per atom

***

3.
Computed, not measured: PbS2BrN after structural relaxation at the PBE level of DFT.

```
PbS2BrN
1.0
5.465 0.000 0.000
0.000 5.465 0.000
0.000 0.000 4.681
Pb S Br N
1 2 1 1
Cartesian
0.000 0.000 0.000
0.000 2.733 0.000
2.733 0.000 0.000
2.733 2.733 2.340
0.000 0.000 2.340
```

Summary:
Energy relative to the lowest polymorph listed for this composition   0.97 eV/f.u.
E_form (uncorrected)   627 kJ/mol of formula units
VASP energy   -0.2273 Ry per atom

***

4.
Computed, not measured: PbSe2BrN after structural relaxation at the PBE level of DFT.

```
PbSe2BrN
1.0
5.659 0.000 0.000
0.000 5.659 0.000
0.000 0.000 5.877
Pb Se Br N
1 2 1 1
Cartesian
0.000 0.000 0.000
0.000 2.830 0.000
2.830 0.000 0.000
0.000 0.000 2.939
2.830 2.830 2.939
```

Summary:
Energy relative to the lowest polymorph listed for this composition   3.55 eV/f.u.
E_form (uncorrected)   618 kJ/mol of formula units
VASP energy   -0.2097 Ry per atom

***

5.
Computed, not measured: PbSeBrN2 after structural relaxation at the PBE level of DFT.

```
PbSeBrN2
1.0
4.389 0.000 0.000
0.000 4.389 0.000
0.000 0.000 6.082
Pb Se Br N
1 1 1 2
Cartesian
0.000 0.000 0.000
0.000 0.000 3.041
2.194 2.194 3.041
0.000 2.194 0.000
2.194 0.000 0.000
```

Summary:
Energy relative to the lowest polymorph listed for this composition   0.00 eV/f.u.
E_form (uncorrected)   790 kJ/mol of formula units
VASP energy   -0.2548 Ry per atom

***

6.
Computed, not measured: PbSeBrN2 after structural relaxation at the PBE level of DFT.

```
PbSeBrN2
1.0
4.374 0.000 0.000
0.000 4.374 0.000
0.000 0.000 5.311
Pb Se Br N
1 1 1 2
Cartesian
0.000 0.000 0.000
2.187 2.187 0.000
2.187 2.187 2.655
0.000 2.187 2.655
2.187 0.000 2.655
```

Summary:
Energy relative to the lowest polymorph listed for this composition   0.61 eV/f.u.
E_form (uncorrected)   849 kJ/mol of formula units
VASP energy   -0.2458 Ry per atom